(1)
The following is a PBE-GGA calculation of a relaxed BaZnF4 crystal, from Alexandria.

The structure in extended XYZ format:
```
24
Lattice="6.011 0.000 0.000 0.000 4.234 0.000 0.000 0.000 15.183" Properties=species:S:1:pos:R:3 pbc="T T T"
Ba 1.063 1.059 1.744
Ba 1.942 3.176 9.335
Ba 4.068 1.059 5.848
Ba 4.948 3.176 13.439
Zn 1.245 3.176 5.136
Zn 1.760 1.059 12.728
Zn 4.250 3.176 2.455
Zn 4.766 1.059 10.047
F 0.196 3.176 3.399
F 0.416 1.059 8.950
F 0.530 1.059 14.322
F 1.376 1.059 4.923
F 1.629 3.176 12.514
F 2.475 3.176 6.730
F 2.589 3.176 1.359
F 2.809 1.059 10.991
F 3.201 3.176 4.192
F 3.422 1.059 13.824
F 3.535 1.059 8.452
F 4.382 1.059 2.669
F 4.634 3.176 10.260
F 5.481 3.176 0.861
F 5.594 3.176 6.233
F 5.814 1.059 11.783
```

Energy relative to the elements, uncorrected ... -3.102 eV per atom
SG ... Pnma (62)

***

(2)
The following is a PBE-GGA calculation of a relaxed BaZnF5 crystal, from Alexandria.

The structure in extended XYZ format:
```
7
Lattice="-3.429 4.460 2.163 3.429 -4.460 2.163 3.429 4.460 -2.163" Properties=species:S:1:pos:R:3 pbc="T T T"
Ba 0.000 0.000 0.000
Zn 0.000 4.460 0.003
F 3.429 0.000 0.003
F 0.000 2.564 0.007
F 1.952 4.460 0.000
F 1.477 0.000 2.163
F 0.000 6.356 0.007
```

Energy relative to the elements, uncorrected ... -2.611 eV per atom
SG ... Imm2 (44)

***

(3)
The following is a PBE-GGA calculation of a relaxed Ba2Zn2F crystal, from Alexandria.

The structure in extended XYZ format:
```
10
Lattice="7.807 0.000 0.000 0.000 7.807 0.000 0.000 0.000 5.385" Properties=species:S:1:pos:R:3 pbc="T T T"
Ba 1.547 2.357 0.000
Ba 2.357 6.260 0.000
Ba 5.450 1.547 0.000
Ba 6.260 5.450 0.000
Zn 0.862 4.765 2.693
Zn 3.042 0.862 2.693
Zn 4.765 6.945 2.693
Zn 6.945 3.042 2.693
F 0.000 0.000 0.000
F 3.904 3.904 0.000
```

Energy relative to the elements, uncorrected ... -1.023 eV per atom
SG ... P4/mbm (127)

***

(4)
The following is a PBE-GGA calculation of a relaxed Ba2ZnF8 crystal, from Alexandria.

The structure in extended XYZ format:
```
11
Lattice="7.831 -2.298 0.000 7.831 2.298 0.000 -1.623 0.000 4.800" Properties=species:S:1:pos:R:3 pbc="T T T"
Ba 2.285 0.000 0.815
Ba 11.754 0.000 3.985
Zn 7.020 0.000 2.400
F -0.470 0.000 1.487
F 2.460 0.000 3.568
F 5.150 0.000 2.829
F 6.371 0.000 0.607
F 7.668 0.000 4.193
F 8.889 0.000 1.971
F 11.579 0.000 1.232
F 14.510 0.000 3.313
```

Energy relative to the elements, uncorrected ... -2.697 eV per atom
SG ... C2/m (12)